NaLaZrCrO6: relaxed, PBE with a Hubbard U.

Unit cell a=5.648 b=5.648 c=5.648 alpha=60.00 beta=60.00 gamma=60.00
Atoms (fractional coordinates):
Na (0.750, 0.750, 0.750)
La (0.250, 0.250, 0.250)
Zr (0.500, 0.500, 0.500)
Cr (0.000, 0.000, 0.000)
O (0.241, 0.759, 0.241)
O (0.759, 0.241, 0.759)
O (0.241, 0.759, 0.759)
O (0.759, 0.241, 0.241)
O (0.241, 0.241, 0.759)
O (0.759, 0.759, 0.241)

The total magnetic moment is 0.200 μB/atom. Its space group is F-43m, No. 216. As for the total energy: -7.7271 eV/atom. For the density of states at the Fermi level, the calculation gives 4.22 states/eV/f.u.